a.
Here is Co3CuS after structural relaxation from Alexandria. Energies are from GGA-PBE.

Cell: 4.3393 4.3393 4.3393 Å, 90.00 90.00 90.00°
Closest atoms and distances in Å follow each position.
Space group Pm-3m (No. 221)
Symmetry-distinct sites (fractional):
Co (0.0000, 0.0000, 0.5000) (multiplicity 3)  2 Cu 2.17
Cu (0.0000, 0.0000, 0.0000) (multiplicity 1)  6 Co 2.17
S (0.5000, 0.5000, 0.5000) (multiplicity 1)  12 Co 3.07


b.
Here is Co3CuS after structural relaxation from Alexandria. Energies are from GGA-PBE.

Cell: 4.0855 4.0855 4.0855 Å, 90.00 90.00 90.00°
Closest atoms and distances in Å follow each position.
Space group Pm-3m (No. 221)
Symmetry-distinct sites (fractional):
Co (0.0000, 0.0000, 0.5000) (multiplicity 3)  2 S 2.04
Cu (0.5000, 0.5000, 0.5000) (multiplicity 1)  12 Co 2.89
S (0.0000, 0.0000, 0.0000) (multiplicity 1)  6 Co 2.04


Winner for stability: b


a.
Here is ScCo3Cu after structural relaxation from Alexandria. Energies are from GGA-PBE.

Cell: 4.3582 4.3582 4.3582 Å, 90.00 90.00 90.00°
Closest atoms and distances in Å follow each position.
Space group Pm-3m (No. 221)
Symmetry-distinct sites (fractional):
Sc (0.0000, 0.0000, 0.0000) (multiplicity 1)  6 Co 2.18
Co (0.0000, 0.0000, 0.5000) (multiplicity 3)  2 Sc 2.18
Cu (0.5000, 0.5000, 0.5000) (multiplicity 1)  12 Co 3.08


b.
Here is ScCo3Cu after structural relaxation from Alexandria. Energies are from GGA-PBE.

Cell: 4.3198 4.3198 4.3198 Å, 90.00 90.00 90.00°
Closest atoms and distances in Å follow each position.
Space group Pm-3m (No. 221)
Symmetry-distinct sites (fractional):
Sc (0.0000, 0.0000, 0.0000) (multiplicity 1)  12 Co 3.05
Co (0.0000, 0.5000, 0.5000) (multiplicity 3)  2 Cu 2.16
Cu (0.5000, 0.5000, 0.5000) (multiplicity 1)  6 Co 2.16


Winner for stability: b


a.
Here is Sc2CoCu after structural relaxation from Alexandria. Energies are from GGA-PBE.

Cell: 3.8182 3.8182 8.9408 Å, 90.00 90.00 90.00°
Closest atoms and distances in Å follow each position.
Space group I-4m2 (No. 119)
Symmetry-distinct sites (fractional):
Sc (0.0000, 0.0000, 0.0000) (multiplicity 2)  4 Cu 2.70, 4 Sc 2.94, 4 Co 2.94
Sc (0.0000, 0.5000, 0.2500) (multiplicity 2)  4 Co 2.70, 4 Sc 2.94, 4 Cu 2.94
Co (0.0000, 0.5000, 0.7500) (multiplicity 2)  8 Sc 2.70-2.94, 4 Cu 2.94
Cu (0.0000, 0.0000, 0.5000) (multiplicity 2)  8 Sc 2.70-2.94, 4 Co 2.94


b.
Here is Sc2CoCu after structural relaxation from Alexandria. Energies are from GGA-PBE.

Cell: 3.3663 3.3663 21.9482 Å, 90.00 90.00 120.00°
Closest atoms and distances in Å follow each position.
Space group R-3m (No. 166, hexagonal axes)
Symmetry-distinct sites (fractional):
Sc (0.0000, 0.0000, 0.2403) (multiplicity 6)  3 Co 2.53, 3 Cu 2.82
Co (0.0000, 0.0000, 0.5000) (multiplicity 3)  6 Sc 2.53
Cu (0.0000, 0.0000, 0.0000) (multiplicity 3)  6 Sc 2.82


Winner for stability: a


a.
Here is Sc2CoCu after structural relaxation from Alexandria. Energies are from GGA-PBE.

Cell: 3.2628 3.2628 6.5564 Å, 90.00 90.00 90.00°
Closest atoms and distances in Å follow each position.
Space group P4mm (No. 99)
Symmetry-distinct sites (fractional):
Sc (0.0000, 0.0000, 0.0000) (multiplicity 1)  1 Co 2.64, 4 Cu 2.69
Sc (0.5000, 0.5000, 0.3855) (multiplicity 1)  1 Cu 2.64, 4 Co 2.69
Co (0.0000, 0.0000, 0.5971) (multiplicity 1)  4 Cu 2.63, 5 Sc 2.64-2.69
Cu (0.5000, 0.5000, 0.7883) (multiplicity 1)  4 Co 2.63, 5 Sc 2.64-2.69


b.
Here is Sc2CoCu after structural relaxation from Alexandria. Energies are from GGA-PBE.

Cell: 2.9900 2.9900 27.1517 Å, 90.00 90.00 120.00°
Closest atoms and distances in Å follow each position.
Space group R-3m (No. 166, hexagonal axes)
Symmetry-distinct sites (fractional):
Sc (0.0000, 0.0000, 0.0847) (multiplicity 6)  1 Co 2.30
Co (0.0000, 0.0000, 0.0000) (multiplicity 3)  2 Sc 2.30
Cu (0.0000, 0.0000, 0.5000) (multiplicity 3)  6 Sc 2.82, 6 Cu 2.99


Winner for stability: a


a.
Here is Sc2CoCu after structural relaxation from Alexandria. Energies are from GGA-PBE.

Cell: 6.3650 3.0194 7.3608 Å, 90.00 98.13 90.00°
Closest atoms and distances in Å follow each position.
Space group C2/m (No. 12)
Symmetry-distinct sites (fractional):
Sc (0.2486, 0.0000, 0.2772) (multiplicity 4)  3 Co 2.43-2.61
Co (0.0000, 0.0000, 0.5000) (multiplicity 2)  6 Sc 2.43-2.61
Cu (0.0000, 0.5000, 0.0000) (multiplicity 2)  6 Sc 2.77-2.83, 2 Cu 3.02


b.
Here is Sc2CoCu after structural relaxation from Alexandria. Energies are from GGA-PBE.

Cell: 9.8258 3.0342 4.5871 Å, 90.00 105.46 90.00°
Closest atoms and distances in Å follow each position.
Space group Cm (No. 8)
Symmetry-distinct sites (fractional):
Sc (0.0000, 0.0000, 0.0000) (multiplicity 2)  4 Cu 2.72-2.86, 3 Co 2.75-2.78, 3 Sc 3.00-3.03
Sc (0.2097, 0.0000, 0.6300) (multiplicity 2)  3 Cu 2.69-2.89, 4 Co 2.74-2.79, 1 Sc 3.00
Co (0.2417, 0.5000, 0.1414) (multiplicity 2)  2 Cu 2.64, 7 Sc 2.74-2.79
Cu (0.4497, 0.0000, 0.4524) (multiplicity 2)  2 Co 2.64, 7 Sc 2.69-2.89


c.
Here is Sc2CoCu after structural relaxation from Alexandria. Energies are from GGA-PBE.

Cell: 3.1854 3.1854 6.4466 Å, 90.00 90.00 90.00°
Closest atoms and distances in Å follow each position.
Space group P4/mmm (No. 123)
Symmetry-distinct sites (fractional):
Sc (0.0000, 0.0000, 0.2382) (multiplicity 2)  4 Co 2.73, 4 Cu 2.81
Co (0.5000, 0.5000, 0.0000) (multiplicity 1)  8 Sc 2.73
Cu (0.5000, 0.5000, 0.5000) (multiplicity 1)  8 Sc 2.81


Winner for stability: c


a.
Here is CoCuSi after structural relaxation from Alexandria. Energies are from GGA-PBE.

Cell: 2.6628 12.4349 4.0524 Å, 90.00 90.00 90.00°
Closest atoms and distances in Å follow each position.
Space group Amm2 (No. 38)
Symmetry-distinct sites (fractional):
Co (0.0000, 0.1798, 0.0000) (multiplicity 4)  6 Si 2.35-2.44, 1 Cu 2.63
Cu (0.0000, 0.0000, 0.3426) (multiplicity 2)  6 Cu 2.41-2.66, 4 Si 2.52, 2 Co 2.63
Cu (0.5000, 0.0000, 0.8472) (multiplicity 2)  6 Cu 2.41-2.66, 2 Si 2.49, 4 Co 2.67
Si (0.5000, 0.1646, 0.4962) (multiplicity 4)  6 Co 2.35-2.44, 3 Cu 2.49-2.52


b.
Here is CoCuSi after structural relaxation from Alexandria. Energies are from GGA-PBE.

Cell: 3.8605 3.8605 2.6864 Å, 90.00 90.00 120.00°
Closest atoms and distances in Å follow each position.
Space group P3m1 (No. 156)
Symmetry-distinct sites (fractional):
Co (0.0000, 0.0000, 0.0000) (multiplicity 1)  3 Si 2.30, 3 Cu 2.57
Cu (0.6667, 0.3333, 0.4739) (multiplicity 1)  3 Si 2.38, 6 Co 2.57-2.64
Si (0.3333, 0.6667, 0.7853) (multiplicity 1)  3 Co 2.30, 3 Cu 2.38


Winner for stability: a


a.
Here is CoCuSi after structural relaxation from Alexandria. Energies are from GGA-PBE.

Cell: 7.7707 3.8817 4.8656 Å, 90.00 90.00 90.00°
Closest atoms and distances in Å follow each position.
Space group Pnma (No. 62)
Symmetry-distinct sites (fractional):
Co (0.0924, 0.2500, 0.0729) (multiplicity 4)  4 Si 2.22-2.30
Cu (0.0859, 0.7500, 0.4020) (multiplicity 4)  4 Si 2.49-2.68, 4 Co 2.52-2.69, 2 Cu 2.54
Si (0.1980, 0.7500, 0.8822) (multiplicity 4)  4 Co 2.22-2.30


b.
Here is CoCuSi after structural relaxation from Alexandria. Energies are from GGA-PBE.

Cell: 5.3777 5.3777 5.3777 Å, 90.00 90.00 90.00°
Closest atoms and distances in Å follow each position.
Space group F-43m (No. 216)
Symmetry-distinct sites (fractional):
Co (0.0000, 0.0000, 0.0000) (multiplicity 4)  4 Si 2.33
Cu (0.0000, 0.0000, 0.5000) (multiplicity 4)  4 Si 2.33
Si (0.2500, 0.2500, 0.7500) (multiplicity 4)  4 Co 2.33, 4 Cu 2.33


c.
Here is CoCuSi after structural relaxation from Alexandria. Energies are from GGA-PBE.

Cell: 2.8345 2.8345 8.5103 Å, 90.00 90.00 90.00°
Closest atoms and distances in Å follow each position.
Space group I4mm (No. 107)
Symmetry-distinct sites (fractional):
Co (0.0000, 0.0000, 0.0000) (multiplicity 2)  4 Si 2.31
Cu (0.0000, 0.0000, 0.6928) (multiplicity 2)  5 Si 2.49-2.78, 5 Co 2.59-2.61
Si (0.0000, 0.0000, 0.3660) (multiplicity 2)  4 Co 2.31, 4 Cu 2.49


d.
Here is CoCuSi after structural relaxation from Alexandria. Energies are from GGA-PBE.

Cell: 2.6641 3.7445 6.8692 Å, 90.00 90.00 90.00°
Closest atoms and distances in Å follow each position.
Space group Pmmn (No. 59, origin choice 2)
Symmetry-distinct sites (fractional):
Co (0.2500, 0.2500, 0.1180) (multiplicity 2)  5 Si 2.29-2.39
Cu (0.2500, 0.7500, 0.5605) (multiplicity 2)  2 Si 2.43, 6 Cu 2.44-2.66, 2 Co 2.58
Si (0.2500, 0.2500, 0.7853) (multiplicity 2)  5 Co 2.29-2.39, 2 Cu 2.43


Winner for stability: d


a.
Here is CoCuSi after structural relaxation from Alexandria. Energies are from GGA-PBE.

Cell: 2.6773 12.3850 4.0463 Å, 90.00 90.00 90.00°
Closest atoms and distances in Å follow each position.
Space group Cmc2_1 (No. 36)
Symmetry-distinct sites (fractional):
Co (0.0000, 0.0701, 0.0000) (multiplicity 4)  6 Si 2.35-2.46
Cu (0.0000, 0.2533, 0.3541) (multiplicity 4)  6 Cu 2.43-2.68, 3 Si 2.48-2.53, 3 Co 2.63-2.68
Si (0.0000, 0.4144, 0.9911) (multiplicity 4)  6 Co 2.35-2.46, 3 Cu 2.48-2.53


b.
Here is CoCuSi after structural relaxation from Alexandria. Energies are from GGA-PBE.

Cell: 2.6556 4.4466 6.3565 Å, 72.38 89.22 73.39°
Closest atoms and distances in Å follow each position.
Space group P-1 (No. 2)
Symmetry-distinct sites (fractional):
Co (0.1579, 0.1728, 0.1229) (multiplicity 2)  5 Si 2.34-2.40, 2 Cu 2.59-2.62
Cu (0.1587, 0.2095, 0.5431) (multiplicity 2)  3 Cu 2.37-2.45, 3 Si 2.50-2.61, 2 Co 2.59-2.62
Si (0.4512, 0.5864, 0.1916) (multiplicity 2)  5 Co 2.34-2.40, 3 Cu 2.50-2.61


Winner for stability: a


a.
Here is CoCuSi after structural relaxation from Alexandria. Energies are from GGA-PBE.

Cell: 12.7001 2.6577 4.0490 Å, 90.00 101.22 90.00°
Closest atoms and distances in Å follow each position.
Space group C2/m (No. 12)
Symmetry-distinct sites (fractional):
Co (0.0692, 0.0000, 0.2907) (multiplicity 4)  6 Si 2.36-2.45
Cu (0.2466, 0.5000, 0.2506) (multiplicity 4)  6 Cu 2.41-2.66, 3 Si 2.46-2.53, 3 Co 2.65-2.69
Si (0.0869, 0.5000, 0.7961) (multiplicity 4)  6 Co 2.36-2.45, 3 Cu 2.46-2.53


b.
Here is CoCuSi after structural relaxation from Alexandria. Energies are from GGA-PBE.

Cell: 4.0553 2.6751 6.2380 Å, 90.00 96.51 90.00°
Closest atoms and distances in Å follow each position.
Space group P2/m (No. 10)
Symmetry-distinct sites (fractional):
Co (0.2271, 0.0000, 0.3570) (multiplicity 2)  6 Si 2.34-2.45, 1 Cu 2.60
Cu (0.0000, 0.5000, 0.0000) (multiplicity 1)  6 Cu 2.43-2.68, 2 Si 2.48, 4 Co 2.67
Cu (0.5000, 0.0000, 0.0000) (multiplicity 1)  6 Cu 2.43-2.68, 4 Si 2.54, 2 Co 2.60
Si (0.2810, 0.5000, 0.6674) (multiplicity 2)  6 Co 2.34-2.45, 3 Cu 2.48-2.54


Winner for stability: a


a.
Here is SmThCoCu after structural relaxation from Alexandria. Energies are from GGA-PBE.

Cell: 3.8673 3.8305 11.9043 Å, 90.00 90.00 90.00°
Closest atoms and distances in Å follow each position.
Space group Amm2 (No. 38)
Symmetry-distinct sites (fractional):
Sm (0.0000, 0.0000, 0.0000) (multiplicity 2)  4 Cu 2.90, 1 Co 3.05
Th (0.5000, 0.0000, 0.7250) (multiplicity 2)  4 Co 2.75, 2 Cu 2.97
Co (0.0000, 0.0000, 0.2561) (multiplicity 2)  2 Cu 2.71, 4 Th 2.75
Cu (0.5000, 0.0000, 0.4154) (multiplicity 2)  2 Co 2.71, 4 Sm 2.90, 2 Th 2.97


b.
Here is SmThCoCu after structural relaxation from Alexandria. Energies are from GGA-PBE.

Cell: 6.9997 6.9997 6.9997 Å, 90.00 90.00 90.00°
Closest atoms and distances in Å follow each position.
Space group F-43m (No. 216)
Symmetry-distinct sites (fractional):
Sm (0.0000, 0.0000, 0.0000) (multiplicity 4)  4 Cu 3.03, 4 Co 3.03
Th (0.0000, 0.0000, 0.5000) (multiplicity 4)  4 Co 3.03, 4 Cu 3.03
Co (0.2500, 0.2500, 0.2500) (multiplicity 4)  4 Th 3.03, 4 Sm 3.03
Cu (0.2500, 0.2500, 0.7500) (multiplicity 4)  4 Th 3.03, 4 Sm 3.03


Winner for stability: a


a.
Here is SmYCoCu after structural relaxation from Alexandria. Energies are from GGA-PBE.

Cell: 6.8957 6.8957 6.8957 Å, 90.00 90.00 90.00°
Closest atoms and distances in Å follow each position.
Space group F-43m (No. 216)
Symmetry-distinct sites (fractional):
Sm (0.0000, 0.0000, 0.0000) (multiplicity 4)  4 Co 2.99, 4 Cu 2.99
Y (0.0000, 0.0000, 0.5000) (multiplicity 4)  4 Co 2.99, 4 Cu 2.99
Co (0.2500, 0.2500, 0.7500) (multiplicity 4)  4 Sm 2.99, 4 Y 2.99
Cu (0.2500, 0.2500, 0.2500) (multiplicity 4)  4 Sm 2.99, 4 Y 2.99


b.
Here is SmYCoCu after structural relaxation from Alexandria. Energies are from GGA-PBE.

Cell: 4.2376 3.8525 10.4180 Å, 90.00 90.00 90.00°
Closest atoms and distances in Å follow each position.
Space group Amm2 (No. 38)
Symmetry-distinct sites (fractional):
Sm (0.0000, 0.0000, 0.0000) (multiplicity 2)  3 Cu 2.90-3.04, 4 Co 2.96
Y (0.5000, 0.0000, 0.2793) (multiplicity 2)  3 Co 2.91-3.03, 4 Cu 2.96
Co (0.5000, 0.0000, 0.5700) (multiplicity 2)  2 Cu 2.56
Cu (0.0000, 0.0000, 0.7080) (multiplicity 2)  2 Co 2.56


Winner for stability: b


a.
Here is CoCuSn3 after structural relaxation from Alexandria. Energies are from GGA-PBE.

Cell: 6.8255 6.7812 9.2453 Å, 90.00 109.60 90.00°
Closest atoms and distances in Å follow each position.
Space group P2_1/c (No. 14)
Symmetry-distinct sites (fractional):
Co (0.2053, 0.1400, 0.2217) (multiplicity 4)  6 Sn 2.63-2.77, 2 Cu 2.86-2.90
Cu (0.4342, 0.1830, 0.0152) (multiplicity 4)  5 Sn 2.55-2.76, 1 Cu 2.69
Sn (0.0378, 0.1724, 0.9058) (multiplicity 4)  1 Cu 2.55, 3 Co 2.67-2.77
Sn (0.2058, 0.6386, 0.9223) (multiplicity 4)  1 Cu 2.62, 1 Co 2.65
Sn (0.4453, 0.0508, 0.7432) (multiplicity 4)  2 Co 2.63-2.64, 3 Cu 2.64-2.76


b.
Here is CoCuSn3 after structural relaxation from Alexandria. Energies are from GGA-PBE.

Cell: 4.8893 4.8893 4.8893 Å, 90.00 90.00 90.00°
Closest atoms and distances in Å follow each position.
Space group Pm-3m (No. 221)
Symmetry-distinct sites (fractional):
Co (0.0000, 0.0000, 0.0000) (multiplicity 1)  6 Sn 2.44
Cu (0.5000, 0.5000, 0.5000) (multiplicity 1)  12 Sn 3.46
Sn (0.0000, 0.0000, 0.5000) (multiplicity 3)  2 Co 2.44


Winner for stability: a